# DyZnCuTe3 (PBE-GGA, relaxed)
# - calculated total energy (eV per atom) = -3.714
data_DyZnCuTe3
_chemical_formula_sum 'Dy4 Zn4 Cu4 Te12'
_space_group_name_H-M_alt 'C m c m'
_space_group_IT_number 63
_space_group_name_Hall '-C 2c 2'
_cell_length_a 4.003
_cell_length_b 14.015
_cell_length_c 11.141
_cell_angle_alpha 90.00
_cell_angle_beta 90.00
_cell_angle_gamma 90.00
loop_
_atom_site_label
_atom_site_fract_x
_atom_site_fract_y
_atom_site_fract_z
Dy1 0.000 0.000 0.000
Zn1 0.000 0.225 0.250
Cu1 0.000 0.478 0.750
Te1 0.000 0.103 0.750
Te2 0.000 0.348 0.579